A plane-wave DFT calculation with PBE was carried out for a relaxed GaCu3Pd6 crystal.

Output
**Magnetic moment**: 0.0 μB/cell
**D(E_F)**: 7.4 states/eV per cell
**ΔE_f**: -13.0 kJ per mole of atoms
**Energy above the lowest structure with this stoichiometry**: 116 meV per atom
**Theoretical density**: 9.9 g/cm³

Cell and atoms, written as CIF:
```
data_GaCu3Pd6
_symmetry_space_group_name_H-M 'P 1'
_symmetry_Int_Tables_number 1
_cell_length_a 4.178
_cell_length_b 9.822
_cell_length_c 9.822
_cell_angle_alpha 131.75
_cell_angle_beta 90.00
_cell_angle_gamma 90.00
loop_
_symmetry_equiv_pos_as_xyz
'x,y,z'
loop_
_atom_site_label
_atom_site_type_symbol
_atom_site_fract_x
_atom_site_fract_y
_atom_site_fract_z
Pd1 Pd 0.598 0.414 0.039
Pd2 Pd 0.598 0.961 0.586
Pd3 Pd 0.598 0.307 0.693
Pd4 Pd 0.098 0.039 0.414
Pd5 Pd 0.599 0.270 0.395
Pd6 Pd 0.098 0.586 0.961
Pd7 Pd 0.099 0.098 0.902
Pd8 Pd 0.099 0.395 0.270
Pd9 Pd 0.599 0.902 0.098
Pd10 Pd 0.098 0.693 0.307
Pd11 Pd 0.099 0.730 0.605
Pd12 Pd 0.599 0.605 0.730
Cu1 Cu 0.099 0.805 0.900
Cu2 Cu 0.099 0.407 0.593
Cu3 Cu 0.099 0.100 0.195
Cu4 Cu 0.599 0.195 0.100
Cu5 Cu 0.599 0.900 0.805
Cu6 Cu 0.599 0.593 0.407
Ga1 Ga 0.598 0.768 0.232
Ga2 Ga 0.098 0.232 0.768
```

=====

A plane-wave DFT calculation with PBE was carried out for a relaxed Ga3Cu7Pd crystal.

Output
**Magnetic moment**: 0.0 μB/cell
**D(E_F)**: 4.9 states/eV per cell
**ΔE_f**: 8.2 kJ per mole of atoms
**Theoretical density**: 7.9 g/cm³

Cell and atoms, written as CIF:
```
data_Ga3Cu7Pd
_symmetry_space_group_name_H-M 'P 1'
_symmetry_Int_Tables_number 1
_cell_length_a 4.897
_cell_length_b 6.551
_cell_length_c 6.551
_cell_angle_alpha 83.11
_cell_angle_beta 118.49
_cell_angle_gamma 118.49
loop_
_symmetry_equiv_pos_as_xyz
'x,y,z'
loop_
_atom_site_label
_atom_site_type_symbol
_atom_site_fract_x
_atom_site_fract_y
_atom_site_fract_z
Ga1 Ga 0.000 0.780 0.220
Ga2 Ga 0.500 0.000 0.000
Ga3 Ga 0.000 0.220 0.780
Cu1 Cu 0.372 0.204 0.204
Cu2 Cu 0.628 0.796 0.796
Cu3 Cu 0.671 0.937 0.418
Cu4 Cu 0.329 0.582 0.063
Cu5 Cu 0.671 0.418 0.937
Cu6 Cu 0.329 0.063 0.582
Cu7 Cu 0.000 0.500 0.500
Pd1 Pd 0.500 0.500 0.500
```

=====

A plane-wave DFT calculation with PBE was carried out for a relaxed Ga2CuPd2 crystal.

Output
**Magnetic moment**: 0.0 μB/cell
**D(E_F)**: 1.7 states/eV per cell
**ΔE_f**: -15.9 kJ per mole of atoms
**Energy above the lowest structure with this stoichiometry**: 277 meV per atom
**Theoretical density**: 8.4 g/cm³

Cell and atoms, written as CIF:
```
data_Ga2CuPd2
_symmetry_space_group_name_H-M 'P 1'
_symmetry_Int_Tables_number 1
_cell_length_a 3.674
_cell_length_b 3.674
_cell_length_c 6.642
_cell_angle_alpha 73.94
_cell_angle_beta 73.94
_cell_angle_gamma 90.00
loop_
_symmetry_equiv_pos_as_xyz
'x,y,z'
loop_
_atom_site_label
_atom_site_type_symbol
_atom_site_fract_x
_atom_site_fract_y
_atom_site_fract_z
Ga1 Ga 0.250 0.750 0.500
Ga2 Ga 0.750 0.250 0.500
Cu1 Cu 0.000 0.000 0.000
Pd1 Pd 0.393 0.393 0.213
Pd2 Pd 0.607 0.607 0.787
```

=====

A plane-wave DFT calculation with PBE was carried out for a relaxed GaCuPd2 crystal.

Output
**Magnetic moment**: 0.0 μB/cell
**D(E_F)**: 1.9 states/eV per cell
**ΔE_f**: -14.0 kJ per mole of atoms
**Theoretical density**: 9.1 g/cm³

Cell and atoms, written as CIF:
```
data_GaCuPd2
_symmetry_space_group_name_H-M 'P 1'
_symmetry_Int_Tables_number 1
_cell_length_a 6.826
_cell_length_b 6.826
_cell_length_c 5.535
_cell_angle_alpha 51.93
_cell_angle_beta 51.93
_cell_angle_gamma 90.00
loop_
_symmetry_equiv_pos_as_xyz
'x,y,z'
loop_
_atom_site_label
_atom_site_type_symbol
_atom_site_fract_x
_atom_site_fract_y
_atom_site_fract_z
Pd1 Pd 0.375 0.365 0.750
Pd2 Pd 0.635 0.125 0.250
Pd3 Pd 0.115 0.625 0.250
Pd4 Pd 0.875 0.885 0.750
Ga1 Ga 0.000 0.000 0.000
Ga2 Ga 0.750 0.250 0.500
Cu1 Cu 0.250 0.750 0.500
Cu2 Cu 0.500 0.500 0.000
```

=====

A plane-wave DFT calculation with PBE was carried out for a relaxed Ga3CuPd crystal.

Output
**Magnetic moment**: 0.0 μB/cell
**D(E_F)**: 1.7 states/eV per cell
**ΔE_f**: 19.2 kJ per mole of atoms
**Energy above the lowest structure with this stoichiometry**: 413 meV per atom
**Theoretical density**: 5.6 g/cm³

Cell and atoms, written as CIF:
```
data_Ga3CuPd
_symmetry_space_group_name_H-M 'P 1'
_symmetry_Int_Tables_number 1
_cell_length_a 4.816
_cell_length_b 4.816
_cell_length_c 4.816
_cell_angle_alpha 90.00
_cell_angle_beta 90.00
_cell_angle_gamma 90.00
loop_
_symmetry_equiv_pos_as_xyz
'x,y,z'
loop_
_atom_site_label
_atom_site_type_symbol
_atom_site_fract_x
_atom_site_fract_y
_atom_site_fract_z
Cu1 Cu 0.500 0.500 0.500
Pd1 Pd 0.000 0.000 0.000
Ga1 Ga 0.500 0.000 0.000
Ga2 Ga 0.000 0.500 0.000
Ga3 Ga 0.000 0.000 0.500
```

=====

A plane-wave DFT calculation with PBE was carried out for a relaxed GaCu2Pd4 crystal.

Output
**Magnetic moment**: 0.0 μB/cell
**D(E_F)**: 5.8 states/eV per cell
**ΔE_f**: -22.4 kJ per mole of atoms
**Energy above the lowest structure with this stoichiometry**: 60 meV per atom
**Theoretical density**: 9.6 g/cm³

Cell and atoms, written as CIF:
```
data_GaCu2Pd4
_symmetry_space_group_name_H-M 'P 1'
_symmetry_Int_Tables_number 1
_cell_length_a 5.184
_cell_length_b 5.184
_cell_length_c 5.184
_cell_angle_alpha 111.20
_cell_angle_beta 108.62
_cell_angle_gamma 108.62
loop_
_symmetry_equiv_pos_as_xyz
'x,y,z'
loop_
_atom_site_label
_atom_site_type_symbol
_atom_site_fract_x
_atom_site_fract_y
_atom_site_fract_z
Pd1 Pd 0.500 0.500 0.500
Pd2 Pd 0.500 0.000 0.000
Pd3 Pd 0.000 0.500 0.000
Pd4 Pd 0.000 0.000 0.500
Cu1 Cu 0.500 0.500 0.000
Cu2 Cu 0.500 0.000 0.500
Ga1 Ga 0.000 0.000 0.000
```

=====

A plane-wave DFT calculation with PBE was carried out for a relaxed Ga2Cu2Pd crystal.

Output
**Magnetic moment**: 0.0 μB/cell
**D(E_F)**: 1.5 states/eV per cell
**ΔE_f**: -18.5 kJ per mole of atoms
**Energy above the lowest structure with this stoichiometry**: 82 meV per atom
**Theoretical density**: 8.7 g/cm³

Cell and atoms, written as CIF:
```
data_Ga2Cu2Pd
_symmetry_space_group_name_H-M 'P 1'
_symmetry_Int_Tables_number 1
_cell_length_a 6.925
_cell_length_b 6.925
_cell_length_c 2.975
_cell_angle_alpha 90.00
_cell_angle_beta 90.00
_cell_angle_gamma 90.00
loop_
_symmetry_equiv_pos_as_xyz
'x,y,z'
loop_
_atom_site_label
_atom_site_type_symbol
_atom_site_fract_x
_atom_site_fract_y
_atom_site_fract_z
Cu1 Cu 0.141 0.641 0.500
Cu2 Cu 0.859 0.359 0.500
Cu3 Cu 0.359 0.141 0.500
Cu4 Cu 0.641 0.859 0.500
Pd1 Pd 0.000 0.000 0.000
Pd2 Pd 0.500 0.500 0.000
Ga1 Ga 0.656 0.156 0.000
Ga2 Ga 0.844 0.656 0.000
Ga3 Ga 0.344 0.844 0.000
Ga4 Ga 0.156 0.344 0.000
```

=====

A plane-wave DFT calculation with PBE was carried out for a relaxed Ga5CuPd2 crystal.

Output
**Magnetic moment**: 0.0 μB/cell
**D(E_F)**: 4.1 states/eV per cell
**ΔE_f**: -22.5 kJ per mole of atoms
**Theoretical density**: 7.4 g/cm³

Cell and atoms, written as CIF:
```
data_Ga5CuPd2
_symmetry_space_group_name_H-M 'P 1'
_symmetry_Int_Tables_number 1
_cell_length_a 4.666
_cell_length_b 6.539
_cell_length_c 9.875
_cell_angle_alpha 90.00
_cell_angle_beta 90.00
_cell_angle_gamma 110.90
loop_
_symmetry_equiv_pos_as_xyz
'x,y,z'
loop_
_atom_site_label
_atom_site_type_symbol
_atom_site_fract_x
_atom_site_fract_y
_atom_site_fract_z
Ga1 Ga 0.670 0.341 0.530
Ga2 Ga 0.330 0.659 0.030
Ga3 Ga 0.670 0.341 0.970
Ga4 Ga 0.061 0.123 0.378
Ga5 Ga 0.330 0.659 0.470
Ga6 Ga 0.939 0.877 0.878
Ga7 Ga 0.666 0.331 0.250
Ga8 Ga 0.939 0.877 0.622
Ga9 Ga 0.334 0.669 0.750
Ga10 Ga 0.061 0.123 0.122
Cu1 Cu 0.548 0.096 0.750
Cu2 Cu 0.452 0.904 0.250
Pd1 Pd 0.853 0.705 0.387
Pd2 Pd 0.147 0.295 0.613
Pd3 Pd 0.147 0.295 0.887
Pd4 Pd 0.853 0.705 0.113
```